(1)
ScTiReBi2 | PBE | optimized geometry

Structure (extended XYZ):
```
5
Lattice="-2.477 -4.047 2.619 2.332 0.960 3.689 -3.903 3.412 1.580" Properties=species:S:1:pos:R:3 pbc="T T T"
Bi -1.952 1.706 0.790
Bi -1.239 -2.023 1.310
Sc 0.000 0.000 0.000
Re -2.024 0.163 3.944
Ti 1.166 0.480 1.844
```

Output
Symmetry: P4/mmm, No. 123
Formation energy (eV per atom): 1.5642
Crystal system: tetragonal

---

(2)
Re3BiSe | PBE | optimized geometry

Structure (extended XYZ):
```
5
Lattice="5.013 0.000 0.000 0.000 5.013 0.000 0.000 0.000 5.013" Properties=species:S:1:pos:R:3 pbc="T T T"
Bi 0.000 0.000 0.000
Se 2.506 2.506 2.506
Re 0.000 2.506 0.000
Re 2.506 0.000 0.000
Re 0.000 0.000 2.506
```

Output
Symmetry: Pm-3m, No. 221
Energy above the most stable polymorph in this dataset (eV per formula unit): 8.11
Uncorrected formation energy (eV/atom): 3.299
Crystal system: cubic

---

(3)
Re2Bi2Se | PBE | optimized geometry

Structure (extended XYZ):
```
10
Lattice="-8.084 -0.353 -2.015 -1.494 -4.594 6.797 -0.521 2.593 1.638" Properties=species:S:1:pos:R:3 pbc="T T T"
Bi -4.087 -4.022 5.066
Bi -7.834 -3.291 2.716
Bi -5.491 -0.925 -0.284
Bi -1.744 -1.656 2.065
Re -7.738 -0.654 1.526
Re -3.371 0.520 1.057
Re -2.362 -1.700 4.893
Re -6.728 -2.875 5.363
Se -4.789 -2.473 2.391
Se 0.000 0.000 0.000
```

Output
Symmetry: P4/mbm, No. 127
Energy above the most stable polymorph in this dataset (eV per formula unit): 4.38
Uncorrected formation energy (eV/atom): 1.352
Crystal system: tetragonal

---

| no. | D(E_F) (states/eV per cell) | calculated volume (Å³ per cell) | spin magnetization (μB/f.u.) |
| --- | --- | --- | --- |
| 1 | 3.8 | 131.2 | 2.8 |
| 2 | 6.4 | 126.0 | 2.6 |
| 3 | 15.5 | 216.3 | 0.0 |